Here is GaCoS2 after structural relaxation from Alexandria. Energies are from PBE.

## Properties
Total magnetic moment = 0.0 μB/f.u.
Calculated total energy = -4.841 eV per atom

abc: 3.3409 3.3409 22.1489
angles: 90.00 90.00 120.00
Last column: nearest neighbours and their distance in Å.
Space group R-3m (No. 166, hexagonal axes)
Asymmetric unit:
Ga  0.0000  0.0000  0.0000 [3 per cell]  2 S 2.56
Co  0.0000  0.0000  0.5000 [3 per cell]  6 S 2.23
S  0.0000  0.0000  0.1157 [6 per cell]  3 Co 2.23